No. 1
LiScTa at its PBEsol-relaxed geometry. Source: Alexandria, functional SCAN.

a b c (Å): 4.5584 4.5584 4.5584
angles (deg): 60.00 60.00 60.00
With the nearest neighbours (Å) after each atom.
Atoms (fractional coordinates):
Li  0.5000  0.5000  0.5000  4 Sc 2.79
Sc  0.2500  0.2500  0.2500  4 Ta 2.79, 4 Li 2.79
Ta  0.0000  0.0000  0.0000  4 Sc 2.79

Computed properties:
As for the formation energy: 1.583 eV/atom. The electronic total energy is -78.5 eV for the cell shown. As for the space-group type: F-43m. As for the crystal system: cubic. Its calculated density is 5.8 g cm⁻³. As for the density of states at the Fermi level: 1.55 states/eV per atom. The excess energy over the best structure of this formula in the dataset comes out at 1.3053 eV per atom.

---

No. 2
LiScTa2 at its PBEsol-relaxed geometry. Source: Alexandria, functional SCAN.

a b c (Å): 2.9373 4.8900 4.8900
angles (deg): 90.00 90.00 90.00
With the nearest neighbours (Å) after each atom.
Atoms (fractional coordinates):
Li  0.5000  0.5000  0.5000  8 Ta 2.85, 2 Li 2.94
Sc  0.5000  0.0000  0.0000  8 Ta 2.85, 2 Sc 2.94
Ta  0.0000  0.0000  0.5000  4 Li 2.85, 4 Sc 2.85, 2 Ta 2.94
Ta  0.0000  0.5000  0.0000  4 Li 2.85, 4 Sc 2.85, 2 Ta 2.94

Computed properties:
As for the formation energy: 0.694 eV/atom. The electronic total energy is -147.0 eV for the cell shown. As for the space-group type: P4/mmm. As for the crystal system: tetragonal. Its calculated density is 9.8 g cm⁻³. As for the density of states at the Fermi level: 1.02 states/eV per atom. The excess energy over the best structure of this formula in the dataset comes out at 0.2669 eV per atom.

---

No. 3
LiScTa2 at its PBEsol-relaxed geometry. Source: Alexandria, functional SCAN.

a b c (Å): 3.8203 3.8203 10.5803
angles (deg): 100.40 100.40 90.00
With the nearest neighbours (Å) after each atom.
Atoms (fractional coordinates):
Sc  0.2500  0.7500  0.5000  4 Li 2.70, 4 Ta 2.89
Sc  0.0000  0.0000  0.0000  4 Li 2.70, 4 Ta 2.89
Li  0.7500  0.2500  0.5000  4 Sc 2.70, 4 Ta 2.89
Li  0.5000  0.5000  0.0000  4 Sc 2.70, 4 Ta 2.89
Ta  0.8756  0.8750  0.2500  4 Ta 2.70, 2 Sc 2.89, 2 Li 2.89
Ta  0.3744  0.3750  0.2500  4 Ta 2.70, 2 Sc 2.89, 2 Li 2.89
Ta  0.1250  0.6256  0.7500  4 Ta 2.70, 2 Sc 2.89, 2 Li 2.89
Ta  0.6250  0.1244  0.7500  4 Ta 2.70, 2 Sc 2.89, 2 Li 2.89

Computed properties:
As for the formation energy: 0.636 eV/atom. The electronic total energy is -294.5 eV for the cell shown. As for the space-group type: I-42d. As for the crystal system: tetragonal. Its calculated density is 9.2 g cm⁻³. As for the density of states at the Fermi level: 1.06 states/eV per atom. The excess energy over the best structure of this formula in the dataset comes out at 0.2091 eV per atom.

---

No. 4
LiScTa at its PBEsol-relaxed geometry. Source: Alexandria, functional SCAN.

a b c (Å): 2.8667 2.8667 7.5221
angles (deg): 100.98 100.98 90.00
With the nearest neighbours (Å) after each atom.
Atoms (fractional coordinates):
Li  0.9924  0.9924  0.9849  4 Li 2.87, 4 Ta 3.15
Sc  0.6815  0.6815  0.3630  4 Sc 2.87, 4 Ta 2.92
Ta  0.3261  0.3261  0.6521  4 Ta 2.87, 4 Sc 2.92, 4 Li 3.15

Computed properties:
As for the formation energy: 0.278 eV/atom. The electronic total energy is -82.4 eV for the cell shown. As for the space-group type: I4mm. As for the crystal system: tetragonal. Its calculated density is 6.5 g cm⁻³. As for the density of states at the Fermi level: 0.80 states/eV per atom. The excess energy over the best structure of this formula in the dataset comes out at 0.0000 eV per atom.

---

No. 5
LiScTa2 at its PBEsol-relaxed geometry. Source: Alexandria, functional SCAN.

a b c (Å): 2.7613 5.5013 5.5013
angles (deg): 120.02 90.00 90.00
With the nearest neighbours (Å) after each atom.
Atoms (fractional coordinates):
Li  0.5000  0.0000  0.0000  2 Sc 2.75, 2 Li 2.76, 8 Ta 3.08
Sc  0.5000  0.5000  0.5000  2 Li 2.75, 2 Sc 2.76, 8 Ta 3.08
Ta  0.0000  0.5000  0.0000  4 Ta 2.75-2.76, 4 Sc 3.08, 4 Li 3.08
Ta  0.0000  0.0000  0.5000  4 Ta 2.75-2.76, 4 Li 3.08, 4 Sc 3.08

Computed properties:
As for the formation energy: 0.427 eV/atom. The electronic total energy is -148.1 eV for the cell shown. As for the space-group type: Cmmm. As for the crystal system: orthorhombic. Its calculated density is 9.5 g cm⁻³. As for the density of states at the Fermi level: 1.13 states/eV per atom. The excess energy over the best structure of this formula in the dataset comes out at 0.0000 eV per atom.

---

No. 6
LiYSc2Ta at its PBEsol-relaxed geometry. Source: Alexandria, functional SCAN.

a b c (Å): 5.1592 5.1592 5.4517
angles (deg): 90.00 90.00 90.00
With the nearest neighbours (Å) after each atom.
Atoms (fractional coordinates):
Y  0.0000  0.0000  0.5000  2 Ta 2.73
Sc  0.0000  0.5000  0.0000  2 Ta 2.58
Sc  0.5000  0.0000  0.0000  2 Ta 2.58
Li  0.5000  0.5000  0.5000  4 Y 3.65, 8 Sc 3.75
Ta  0.0000  0.0000  0.0000  4 Sc 2.58, 2 Y 2.73

Computed properties:
As for the formation energy: 0.622 eV/atom. The electronic total energy is -122.2 eV for the cell shown. As for the space-group type: P4/mmm. As for the crystal system: tetragonal. Its calculated density is 4.2 g cm⁻³. As for the density of states at the Fermi level: 0.75 states/eV per atom.